The following is a DFT calculation (PBE) of a relaxed TbTh2 crystal.

The space group is I4/mmm (No. 139) and the conventional cell measures 3.578, 3.578 and 15.110 Å, with angles of 90.00, 90.00 and 90.00 degrees. The distinct sites, in fractional coordinates, are Tb at (0.000, 0.000, 0.000) and Th at (0.000, 0.000, 0.331).

The total energy comes out at -6.45 eV/atom. The energy above the most stable polymorph in this dataset is 0.0 meV/atom. The value obtained for the energy of formation from the pure elements is 0.042 eV per atom.